## Y12Er7Th (PBE)

Data for a geometry-optimized Y12Er7Th structure.

## Properties
theoretical density: 6101 kg/m³
DOS at the Fermi energy: 1.684 states/eV per atom
uncorrected energy: -5.530 eV/atom

The structure in POSCAR format:
```
Y12Er7Th
1.0
6.018 0.000 -1.239
-3.139 9.734 -5.092
0.260 0.000 11.422
Y Er Th
12 7 1
direct
0.085 0.585 0.172
0.086 0.172 0.586
0.610 0.647 0.001
0.391 0.001 0.354
0.500 0.414 0.585
0.037 0.646 0.647
0.963 0.354 0.353
0.500 0.586 0.415
0.609 0.999 0.646
0.390 0.353 0.999
0.914 0.828 0.414
0.915 0.415 0.828
0.146 0.753 0.001
0.854 0.001 0.248
0.607 0.752 0.753
0.500 0.000 0.000
0.393 0.248 0.247
0.146 0.999 0.752
0.854 0.247 0.999
0.000 0.000 0.000
```



## LiFePIr (PBE)

Data for a geometry-optimized LiFePIr structure.

## Properties
theoretical density: 10787 kg/m³
DOS at the Fermi energy: 0.666 states/eV per atom
uncorrected energy: -6.508 eV/atom

The structure in POSCAR format:
```
LiFePIr
1.0
-0.576 1.991 3.378
-2.111 -1.635 2.929
1.805 -1.177 3.326
P Ir Fe Li
1 1 1 1
direct
0.500 0.500 0.500
0.750 0.750 0.750
0.250 0.250 0.250
0.000 0.000 0.000
```



## PuTl3O8 (PBE)

Data for a geometry-optimized PuTl3O8 structure.

## Properties
theoretical density: 10345 kg/m³
DOS at the Fermi energy: 0.663 states/eV per atom
uncorrected energy: -6.078 eV/atom

The structure in POSCAR format:
```
PuTl3O8
1.0
5.408 0.000 0.000
0.000 5.408 0.000
0.000 0.000 5.408
Pu Tl O
1 3 8
direct
0.000 0.000 0.000
0.500 0.500 0.000
0.500 0.000 0.500
0.000 0.500 0.500
0.239 0.239 0.761
0.239 0.761 0.239
0.761 0.239 0.239
0.761 0.761 0.761
0.761 0.761 0.239
0.761 0.239 0.761
0.239 0.761 0.761
0.239 0.239 0.239
```



## Pa2Fe2Tc (PBE)

Data for a geometry-optimized Pa2Fe2Tc structure.

## Properties
theoretical density: 12540 kg/m³
DOS at the Fermi energy: 1.245 states/eV per atom
uncorrected energy: -9.425 eV/atom

The structure in POSCAR format:
```
Pa2Fe2Tc
1.0
3.832 0.295 -0.868
-0.975 5.080 -2.577
0.381 -0.757 4.843
Pa Fe Tc
2 2 1
direct
0.768 0.294 0.588
0.232 0.706 0.412
0.500 0.714 0.000
0.500 0.286 0.000
0.000 0.000 0.000
```



## CoRh2Cl (PBE)

Data for a geometry-optimized CoRh2Cl structure.

## Properties
theoretical density: 6814 kg/m³
DOS at the Fermi energy: 1.492 states/eV per atom
uncorrected energy: -5.553 eV/atom

The structure in POSCAR format:
```
CoRh2Cl
1.0
4.392 -0.031 -0.402
3.530 2.615 -0.402
0.548 0.179 6.255
Co Rh Cl
1 2 1
direct
0.204 0.204 0.181
0.931 0.931 0.009
0.658 0.658 0.841
0.706 0.706 0.469
```



## CaTePd (PBE)

Data for a geometry-optimized CaTePd structure.

## Properties
theoretical density: 5969 kg/m³
DOS at the Fermi energy: 0.000 states/eV per atom
uncorrected energy: -4.452 eV/atom

The structure in POSCAR format:
```
CaTePd
1.0
-6.218 3.914 4.193
-2.038 -3.471 -2.402
2.162 -0.912 4.058
Ca Te Pd
2 2 2
direct
0.053 0.862 0.838
0.553 0.862 0.338
0.803 0.362 0.088
0.304 0.362 0.588
0.404 0.096 0.955
0.702 0.628 0.721
```